1.
Here is an optimized crystal structure of MgCdCl2 from Alexandria. Energies are from GGA-PBE.

Values from the calculation:
Uncorrected formation energy in kJ/mol of formula units: -190
D(E_F) in states/eV/cell: 4.26

```
data_MgCdCl2
_cell_length_a 6.808
_cell_length_b 6.829
_cell_length_c 4.020
_cell_angle_alpha 90.00
_cell_angle_beta 90.00
_cell_angle_gamma 90.00
_symmetry_space_group_name_H-M 'C m m m'
_symmetry_Int_Tables_number 65
_symmetry_space_group_name_Hall '-C 2 2'
loop_
_atom_site_label
_atom_site_type_symbol
_atom_site_fract_x
_atom_site_fract_y
_atom_site_fract_z
Mg1 Mg 0.000 0.000 0.000
Cd1 Cd 0.000 0.500 0.000
Cl1 Cl 0.250 0.250 0.500
```

***

2.
Here is an optimized crystal structure of Sr2PrY from Alexandria. Energies are from GGA-PBE.

Values from the calculation:
E_form in eV/atom: 0.302
D(E_F) in states/eV/cell: 19.69

```
data_Sr2PrY
_cell_length_a 3.7751
_cell_length_b 3.7751
_cell_length_c 41.0162
_cell_angle_alpha 90.00
_cell_angle_beta 90.00
_cell_angle_gamma 120.00
_symmetry_space_group_name_H-M 'R -3 m'
_symmetry_Int_Tables_number 166
_symmetry_space_group_name_Hall '-R 3 2"'
loop_
_atom_site_label
_atom_site_type_symbol
_atom_site_fract_x
_atom_site_fract_y
_atom_site_fract_z
Sr1 Sr 0.0000 0.0000 0.0896
Pr1 Pr 0.0000 0.0000 0.0000
Y1 Y 0.0000 0.0000 0.5000
```

***

Which of these has the lowest D(E_F)?
MgCdCl2

***

The lowest D(E_F) belongs to which entry?
MgCdCl2

***

Which formula does entry 1 have?
MgCdCl2

***

What is the formula in the second record?
Sr2PrY